Record 1
# CdAgSn2 | Alexandria via LeMat-Bulk | PBE | optimized geometry
# - Volume: 24.7 A^3/atom
# - Size of the total moment: 0.0 μB/f.u.
# - E_tot: -34.42 eV/cell
# - DFT formation energy: 0.07 eV/atom
data_CdAgSn2
_chemical_formula_sum 'Cd3 Ag3 Sn6'
_space_group_name_H-M_alt 'R -3 m'
_space_group_IT_number 166
_space_group_name_Hall '-R 3 2"'
_cell_length_a 3.1957
_cell_length_b 3.1957
_cell_length_c 33.5561
_cell_angle_alpha 90.00
_cell_angle_beta 90.00
_cell_angle_gamma 120.00
loop_
_atom_site_label
_atom_site_fract_x
_atom_site_fract_y
_atom_site_fract_z
_atom_site_occupancy
Cd1 0.0000 0.0000 0.0000 1
Ag1 0.0000 0.0000 0.5000 1
Sn1 0.0000 0.0000 0.0933 1

Record 2
# Cd6Ag8Sn | Alexandria via LeMat-Bulk | PBE | optimized geometry
# - Volume: 20.9 A^3/atom
# - Size of the total moment: 0.0 μB/f.u.
# - E_tot: -94.97 eV/cell
# - Excess energy over the best structure of this formula in the dataset: 0.000 eV per atom
# - DFT formation energy: 0.04 eV/atom
data_Cd6Ag8Sn
_chemical_formula_sum 'Cd18 Ag24 Sn3'
_space_group_name_H-M_alt 'R -3'
_space_group_IT_number 148
_space_group_name_Hall '-R 3'
_cell_length_a 7.7111
_cell_length_b 7.7111
_cell_length_c 18.2457
_cell_angle_alpha 90.00
_cell_angle_beta 90.00
_cell_angle_gamma 120.00
loop_
_atom_site_label
_atom_site_fract_x
_atom_site_fract_y
_atom_site_fract_z
_atom_site_occupancy
Cd1 0.0403 0.7922 0.3973 1
Ag1 0.0000 0.0000 0.2574 1
Ag2 0.0043 0.7697 0.8774 1
Sn1 0.0000 0.0000 0.0000 1

Record 3
# Cd2Ag2Sn | Alexandria via LeMat-Bulk | PBE | optimized geometry
# - Volume: 23.4 A^3/atom
# - Size of the total moment: 0.0 μB/f.u.
# - E_tot: -21.88 eV/cell
# - Excess energy over the best structure of this formula in the dataset: 0.107 eV per atom
# - DFT formation energy: 0.12 eV/atom
data_Cd2Ag2Sn
_chemical_formula_sum 'Cd4 Ag4 Sn2'
_space_group_name_H-M_alt 'C 1 2/m 1'
_space_group_IT_number 12
_cell_length_a 4.907
_cell_length_b 8.292
_cell_length_c 5.759
_cell_angle_alpha 90.00
_cell_angle_beta 90.19
_cell_angle_gamma 90.00
loop_
_space_group_symop_operation_xyz
'x,y,z'
'-x,-y,-z'
'-x,y,-z'
'x,-y,z'
'x+1/2,y+1/2,z'
'-x+1/2,-y+1/2,-z'
'-x+1/2,y+1/2,-z'
'x+1/2,-y+1/2,z'
loop_
_atom_site_label
_atom_site_fract_x
_atom_site_fract_y
_atom_site_fract_z
_atom_site_occupancy
Cd1 0.000 0.173 0.000 1
Ag1 0.001 0.500 0.754 1
Sn1 0.000 0.000 0.500 1

Record 4
# Cd5Ag3Sn12 | Alexandria via LeMat-Bulk | PBE | optimized geometry
# - Volume: 29.9 A^3/atom
# - Size of the total moment: 0.0 μB/f.u.
# - E_tot: -464.06 eV/cell
# - DFT formation energy: 0.16 eV/atom
data_Cd5Ag3Sn12
_chemical_formula_sum 'Cd40 Ag24 Sn96'
_space_group_name_H-M_alt 'I a -3 d'
_space_group_IT_number 230
_space_group_name_Hall '-I 4bd 2c 3'
_cell_length_a 16.850
_cell_length_b 16.850
_cell_length_c 16.850
_cell_angle_alpha 90.00
_cell_angle_beta 90.00
_cell_angle_gamma 90.00
loop_
_atom_site_label
_atom_site_fract_x
_atom_site_fract_y
_atom_site_fract_z
_atom_site_occupancy
Cd1 0.000 0.000 0.000 1
Cd2 0.000 0.250 0.375 1
Ag1 0.000 0.250 0.125 1
Sn1 0.018 0.087 0.650 1

Record 5
# Cd5Ag8Sn | Alexandria via LeMat-Bulk | PBE | optimized geometry
# - Volume: 21.0 A^3/atom
# - Size of the total moment: 0.0 μB/f.u.
# - E_tot: -61.29 eV/cell
# - DFT formation energy: 0.05 eV/atom
data_Cd5Ag8Sn
_chemical_formula_sum 'Cd10 Ag16 Sn2'
_space_group_name_H-M_alt 'I -4'
_space_group_IT_number 82
_cell_length_a 7.892
_cell_length_b 7.892
_cell_length_c 9.430
_cell_angle_alpha 90.00
_cell_angle_beta 90.00
_cell_angle_gamma 90.00
loop_
_space_group_symop_operation_xyz
'x,y,z'
'y,-x,-z'
'-x,-y,z'
'-y,x,-z'
'x+1/2,y+1/2,z+1/2'
'y+1/2,-x+1/2,-z+1/2'
'-x+1/2,-y+1/2,z+1/2'
'-y+1/2,x+1/2,-z+1/2'
loop_
_atom_site_label
_atom_site_fract_x
_atom_site_fract_y
_atom_site_fract_z
_atom_site_occupancy
Cd1 0.000 0.000 0.000 1
Cd2 0.138 0.225 0.440 1
Ag1 0.078 0.327 0.134 1
Ag2 0.085 0.160 0.741 1
Sn1 0.000 0.500 0.750 1

Record 6
# Cd6Ag8Sn | Alexandria via LeMat-Bulk | PBE | optimized geometry
# - Volume: 21.2 A^3/atom
# - Size of the total moment: 0.0 μB/f.u.
# - E_tot: -31.38 eV/cell
# - Excess energy over the best structure of this formula in the dataset: 0.018 eV per atom
# - DFT formation energy: 0.06 eV/atom
data_Cd6Ag8Sn
_chemical_formula_sum 'Cd6 Ag8 Sn1'
_space_group_name_H-M_alt 'P -3'
_space_group_IT_number 147
_cell_length_a 8.2588
_cell_length_b 8.2588
_cell_length_c 5.3766
_cell_angle_alpha 90.00
_cell_angle_beta 90.00
_cell_angle_gamma 120.00
loop_
_space_group_symop_operation_xyz
'x,y,z'
'-x,-y,-z'
'-y,x-y,z'
'y,-x+y,-z'
'-x+y,-x,z'
'x-y,x,-z'
loop_
_atom_site_label
_atom_site_fract_x
_atom_site_fract_y
_atom_site_fract_z
_atom_site_occupancy
Cd1 0.1220 0.4350 0.0917 1
Ag1 0.0112 0.6814 0.4123 1
Ag2 0.3333 0.6667 0.6353 1
Sn1 0.0000 0.0000 0.0000 1

- Which value of size of the total moment does entry 1 give?
  0.0 μB/f.u.

- Which of these has the lowest E_tot?
  Cd5Ag3Sn12